A plane-wave DFT calculation with GGA-PBE was carried out for an optimized crystal structure of AcPrPdI.

Cell and atoms, written as CIF:
```
data_AcPrPdI
_chemical_formula_sum 'Ac1 Pr1 Pd1 I1'
_cell_length_a 4.3744
_cell_length_b 4.3743
_cell_length_c 8.7999
_cell_angle_alpha 90.00
_cell_angle_beta 104.39
_cell_angle_gamma 120.00
_space_group_name_H-M_alt 'P 1'
_space_group_IT_number 1
_space_group_name_Hall 'P 1'
loop_
_atom_site_label
_atom_site_fract_x
_atom_site_fract_y
_atom_site_fract_z
Ac1 0.5112 0.1535 0.6800
Pr1 0.0969 0.9464 0.0586
Pd1 0.3097 0.5528 0.8778
I1 0.9601 0.3782 0.3533
```

Values from the calculation:
E_form (uncorrected) = -0.91 eV/atom
Volume = 34.92 Å³ per atom
Symmetry = R3m, No. 160
N(E_F) = 0.973 states/eV per atom